# PBE ScCuC, relaxed
# * formation energy from the elements: -0.010 eV per atom
data_ScCuC
_chemical_formula_sum 'Sc2 Cu2 C2'
_space_group_name_H-M_alt 'P m n 21'
_space_group_IT_number 31
_cell_length_a 3.486
_cell_length_b 3.752
_cell_length_c 5.801
_cell_angle_alpha 90.00
_cell_angle_beta 90.00
_cell_angle_gamma 90.00
loop_
_space_group_symop_operation_xyz
'x,y,z'
'-x+1/2,-y,z+1/2'
'-x,y,z'
'x+1/2,-y,z+1/2'
loop_
_atom_site_label
_atom_site_type_symbol
_atom_site_fract_x
_atom_site_fract_y
_atom_site_fract_z
_atom_site_occupancy
Sc1 Sc 0.000 0.026 0.000 1
Cu1 Cu 0.000 0.487 0.339 1
C1 C 0.000 0.660 0.671 1


# PBE Nd8Pt5Au, relaxed
# * formation energy from the elements: -0.910 eV per atom
data_Nd8Pt5Au
_chemical_formula_sum 'Nd16 Pt10 Au2'
_space_group_name_H-M_alt 'I -4'
_space_group_IT_number 82
_cell_length_a 9.107
_cell_length_b 9.107
_cell_length_c 9.002
_cell_angle_alpha 90.00
_cell_angle_beta 90.00
_cell_angle_gamma 90.00
loop_
_space_group_symop_operation_xyz
'x,y,z'
'y,-x,-z'
'-x,-y,z'
'-y,x,-z'
'x+1/2,y+1/2,z+1/2'
'y+1/2,-x+1/2,-z+1/2'
'-x+1/2,-y+1/2,z+1/2'
'-y+1/2,x+1/2,-z+1/2'
loop_
_atom_site_label
_atom_site_type_symbol
_atom_site_fract_x
_atom_site_fract_y
_atom_site_fract_z
_atom_site_occupancy
Nd1 Nd 0.061 0.193 0.182 1
Nd2 Nd 0.063 0.319 0.567 1
Pt1 Pt 0.000 0.500 0.250 1
Pt2 Pt 0.129 0.250 0.873 1
Au1 Au 0.000 0.000 0.500 1


# PBE Sm2AgGe4Au3, relaxed
# * formation energy from the elements: -0.479 eV per atom
data_Sm2AgGe4Au3
_chemical_formula_sum 'Sm2 Ag1 Ge4 Au3'
_space_group_name_H-M_alt 'P -4 m 2'
_space_group_IT_number 115
_cell_length_a 4.292
_cell_length_b 4.292
_cell_length_c 11.278
_cell_angle_alpha 90.00
_cell_angle_beta 90.00
_cell_angle_gamma 90.00
loop_
_space_group_symop_operation_xyz
'x,y,z'
'y,-x,-z'
'-x,-y,z'
'-y,x,-z'
'-x,y,z'
'-y,-x,-z'
'x,-y,z'
'y,x,-z'
loop_
_atom_site_label
_atom_site_type_symbol
_atom_site_fract_x
_atom_site_fract_y
_atom_site_fract_z
_atom_site_occupancy
Sm1 Sm 0.000 0.500 0.238 1
Ag1 Ag 0.500 0.500 0.000 1
Ge1 Ge 0.000 0.000 0.500 1
Ge2 Ge 0.000 0.500 0.863 1
Ge3 Ge 0.500 0.500 0.500 1
Au1 Au 0.000 0.000 0.000 1
Au2 Au 0.000 0.500 0.642 1


# PBE CeHo2H, relaxed
# * E above lowest polymorph: 0 kJ/mol of formula units
data_CeHo2H
_chemical_formula_sum 'Ce3 Ho6 H3'
_space_group_name_H-M_alt 'R -3 m'
_space_group_IT_number 166
_space_group_name_Hall '-R 3 2"'
_cell_length_a 3.3836
_cell_length_b 3.3836
_cell_length_c 27.9633
_cell_angle_alpha 90.00
_cell_angle_beta 90.00
_cell_angle_gamma 120.00
loop_
_atom_site_label
_atom_site_type_symbol
_atom_site_fract_x
_atom_site_fract_y
_atom_site_fract_z
_atom_site_occupancy
Ce1 Ce 0.0000 0.0000 0.0000 1
Ho1 Ho 0.0000 0.0000 0.1182 1
H1 H 0.0000 0.0000 0.5000 1


# PBE CePaSi, relaxed
# * energy relative to the elements, uncorrected: -0.6 eV/f.u.
# * E above lowest polymorph: 77 kJ/mol of formula units
data_CePaSi
_chemical_formula_sum 'Ce4 Pa4 Si4'
_space_group_name_H-M_alt 'I 4/m m m'
_space_group_IT_number 139
_space_group_name_Hall '-I 4 2'
_cell_length_a 3.790
_cell_length_b 3.790
_cell_length_c 22.244
_cell_angle_alpha 90.00
_cell_angle_beta 90.00
_cell_angle_gamma 90.00
loop_
_atom_site_label
_atom_site_type_symbol
_atom_site_fract_x
_atom_site_fract_y
_atom_site_fract_z
_atom_site_occupancy
Ce1 Ce 0.000 0.000 0.084 1
Pa1 Pa 0.000 0.000 0.208 1
Si1 Si 0.000 0.000 0.348 1


# PBE K2ZrCl4F2, relaxed
# * energy relative to the elements, uncorrected: -21.6 eV/f.u.
data_K2ZrCl4F2
_chemical_formula_sum 'K4 Zr2 Cl8 F4'
_space_group_name_H-M_alt 'C 1 2/m 1'
_space_group_IT_number 12
_cell_length_a 11.350
_cell_length_b 7.285
_cell_length_c 5.641
_cell_angle_alpha 90.00
_cell_angle_beta 102.28
_cell_angle_gamma 90.00
loop_
_space_group_symop_operation_xyz
'x,y,z'
'-x,-y,-z'
'-x,y,-z'
'x,-y,z'
'x+1/2,y+1/2,z'
'-x+1/2,-y+1/2,-z'
'-x+1/2,y+1/2,-z'
'x+1/2,-y+1/2,z'
loop_
_atom_site_label
_atom_site_type_symbol
_atom_site_fract_x
_atom_site_fract_y
_atom_site_fract_z
_atom_site_occupancy
K1 K 0.173 0.000 0.321 1
Zr1 Zr 0.000 0.500 0.000 1
Cl1 Cl 0.099 0.252 0.802 1
F1 F 0.143 0.500 0.281 1


# PBE AlGaCo, relaxed
# * formation energy from the elements: -0.303 eV per atom
data_AlGaCo
_chemical_formula_sum 'Al2 Ga2 Co2'
_space_group_name_H-M_alt 'I 4 m m'
_space_group_IT_number 107
_space_group_name_Hall 'I 4 -2'
_cell_length_a 3.103
_cell_length_b 3.103
_cell_length_c 8.116
_cell_angle_alpha 90.00
_cell_angle_beta 90.00
_cell_angle_gamma 90.00
loop_
_atom_site_label
_atom_site_type_symbol
_atom_site_fract_x
_atom_site_fract_y
_atom_site_fract_z
_atom_site_occupancy
Al1 Al 0.000 0.000 0.000 1
Ga1 Ga 0.000 0.000 0.685 1
Co1 Co 0.000 0.000 0.345 1


# PBE Th2FeGe3Ir4, relaxed
# * formation energy from the elements: -0.730 eV per atom
data_Th2FeGe3Ir4
_chemical_formula_sum 'Th2 Fe1 Ge3 Ir4'
_space_group_name_H-M_alt 'P -4 m 2'
_space_group_IT_number 115
_cell_length_a 4.224
_cell_length_b 4.224
_cell_length_c 10.328
_cell_angle_alpha 90.00
_cell_angle_beta 90.00
_cell_angle_gamma 90.00
loop_
_space_group_symop_operation_xyz
'x,y,z'
'y,-x,-z'
'-x,-y,z'
'-y,x,-z'
'-x,y,z'
'-y,-x,-z'
'x,-y,z'
'y,x,-z'
loop_
_atom_site_label
_atom_site_type_symbol
_atom_site_fract_x
_atom_site_fract_y
_atom_site_fract_z
_atom_site_occupancy
Th1 Th 0.000 0.500 0.242 1
Fe1 Fe 0.500 0.500 0.000 1
Ge1 Ge 0.000 0.000 0.000 1
Ge2 Ge 0.000 0.500 0.632 1
Ir1 Ir 0.000 0.000 0.500 1
Ir2 Ir 0.000 0.500 0.869 1
Ir3 Ir 0.500 0.500 0.500 1


Copy entry 2 word for word.
# PBE Nd8Pt5Au, relaxed
# * formation energy from the elements: -0.910 eV per atom
data_Nd8Pt5Au
_chemical_formula_sum 'Nd16 Pt10 Au2'
_space_group_name_H-M_alt 'I -4'
_space_group_IT_number 82
_cell_length_a 9.107
_cell_length_b 9.107
_cell_length_c 9.002
_cell_angle_alpha 90.00
_cell_angle_beta 90.00
_cell_angle_gamma 90.00
loop_
_space_group_symop_operation_xyz
'x,y,z'
'y,-x,-z'
'-x,-y,z'
'-y,x,-z'
'x+1/2,y+1/2,z+1/2'
'y+1/2,-x+1/2,-z+1/2'
'-x+1/2,-y+1/2,z+1/2'
'-y+1/2,x+1/2,-z+1/2'
loop_
_atom_site_label
_atom_site_type_symbol
_atom_site_fract_x
_atom_site_fract_y
_atom_site_fract_z
_atom_site_occupancy
Nd1 Nd 0.061 0.193 0.182 1
Nd2 Nd 0.063 0.319 0.567 1
Pt1 Pt 0.000 0.500 0.250 1
Pt2 Pt 0.129 0.250 0.873 1
Au1 Au 0.000 0.000 0.500 1